The following is a PBE calculation of Tl2PdBr3Cl after structural relaxation, from OQMD.

Its space-group type is Amm2, No. 38. The total energy comes out at -3.09 eV/atom.

Unit cell a=4.3792 b=7.4737 c=7.4737 alpha=88.37 beta=90.00 gamma=90.00
Element x y z (fractional)
Br  0.0000  0.2280  0.2280
Br  0.0000  0.7604  0.2345
Br  0.0000  0.2345  0.7604
Cl  0.0000  0.7797  0.7797
Pd  0.0000  0.9987  0.9987
Tl  0.5000  0.9909  0.5078
Tl  0.5000  0.5078  0.9909